(1)
Compound: VCo4Ni
Source: the Alexandria database
Functional: PBE-GGA
Structure: optimized geometry

Fermi-level density of states: 1.14 states/eV per atom
calculated volume: 66.8 Å³ per cell
energy of formation: -36 meV/atom
polymorph energy (0 for the lowest one): 0 meV per atom

a = 2.5220 Å, b = 3.5040 Å, c = 7.5563 Å
α = 90.00°, β = 90.00°, γ = 90.00°
Element x y z (fractional)
V1 0.0000 0.0000 0.0000
Co1 0.0000 0.0000 0.3325
Co2 0.0000 0.0000 0.6675
Co3 0.5000 0.5000 0.1735
Co4 0.5000 0.5000 0.8265
Ni1 0.5000 0.5000 0.5000



(2)
Compound: EuErTh
Source: the Alexandria database
Functional: PBE-GGA
Structure: optimized geometry

Fermi-level density of states: 1.35 states/eV per atom
calculated volume: 102.1 Å³ per cell
energy of formation: 93 meV/atom
polymorph energy (0 for the lowest one): 9 meV per atom

a = 8.2418 Å, b = 8.2418 Å, c = 8.2418 Å
α = 154.70°, β = 154.70°, γ = 36.09°
Element x y z (fractional)
Eu1 0.0000 0.0000 0.0000
Er1 0.6802 0.6802 0.0000
Th1 0.3284 0.3284 0.0000



(3)
Compound: Ti3MnRe
Source: the Alexandria database
Functional: PBE-GGA
Structure: optimized geometry

Fermi-level density of states: 1.11 states/eV per atom
calculated volume: 83.5 Å³ per cell
energy of formation: 644 meV/atom
polymorph energy (0 for the lowest one): 0 meV per atom

a = 4.3709 Å, b = 4.3709 Å, c = 4.3709 Å
α = 90.00°, β = 90.00°, γ = 90.00°
Element x y z (fractional)
Ti1 0.0000 0.0000 0.5000
Ti2 0.0000 0.5000 0.0000
Ti3 0.5000 0.0000 0.0000
Mn1 0.0000 0.0000 0.0000
Re1 0.5000 0.5000 0.5000



(4)
Compound: NaTh2Cl8
Source: the Alexandria database
Functional: PBE-GGA
Structure: optimized geometry

Fermi-level density of states: 0.25 states/eV per atom
calculated volume: 288.4 Å³ per cell
polymorph energy (0 for the lowest one): 0 meV per atom

a = 7.5128 Å, b = 7.5128 Å, c = 5.5462 Å
α = 97.10°, β = 97.10°, γ = 109.44°
Element x y z (fractional)
Na1 0.0000 0.0000 0.0000
Th1 0.3239 0.6761 0.5000
Th2 0.6761 0.3239 0.5000
Cl1 0.0604 0.3278 0.5915
Cl2 0.2431 0.7569 0.0000
Cl3 0.3278 0.0604 0.5915
Cl4 0.3720 0.3720 0.1918
Cl5 0.6280 0.6280 0.8082
Cl6 0.6722 0.9396 0.4085
Cl7 0.7569 0.2431 0.0000
Cl8 0.9396 0.6722 0.4085



(5)
Compound: CaZn2Cu
Source: the Alexandria database
Functional: PBE-GGA
Structure: optimized geometry

Fermi-level density of states: 0.41 states/eV per atom
calculated volume: 76.5 Å³ per cell
energy of formation: -8 meV/atom

a = 4.1789 Å, b = 4.1789 Å, c = 4.3800 Å
α = 90.00°, β = 90.00°, γ = 90.00°
Element x y z (fractional)
Ca1 0.0000 0.0000 0.0000
Zn1 0.0000 0.5000 0.5000
Zn2 0.5000 0.0000 0.5000
Cu1 0.5000 0.5000 0.0000



(6)
Compound: MnCr2Pb
Source: the Alexandria database
Functional: PBE-GGA
Structure: optimized geometry

Fermi-level density of states: 0.78 states/eV per atom
calculated volume: 65.4 Å³ per cell
energy of formation: 554 meV/atom

a = 5.1462 Å, b = 5.1462 Å, c = 5.1462 Å
α = 140.06°, β = 130.74°, γ = 65.20°
Element x y z (fractional)
Mn1 0.0000 0.0000 0.0000
Cr1 0.5268 0.5268 0.0000
Cr2 0.7323 0.2323 0.5000
Pb1 0.2623 0.7623 0.5000



(7)
Compound: Ce2NdRh9
Source: the Alexandria database
Functional: PBE-GGA
Structure: optimized geometry

Fermi-level density of states: 0.98 states/eV per atom
calculated volume: 213.8 Å³ per cell
energy of formation: -552 meV/atom

a = 9.3462 Å, b = 9.3462 Å, c = 9.3462 Å
α = 32.86°, β = 32.86°, γ = 32.86°
Element x y z (fractional)
Ce1 0.1386 0.1386 0.1386
Ce2 0.8614 0.8614 0.8614
Nd1 0.0000 0.0000 0.0000
Rh1 0.0812 0.5843 0.5843
Rh2 0.3330 0.3330 0.3330
Rh3 0.4157 0.4157 0.9188
Rh4 0.4157 0.9188 0.4157
Rh5 0.5000 0.5000 0.5000
Rh6 0.5843 0.0812 0.5843
Rh7 0.5843 0.5843 0.0812
Rh8 0.6670 0.6670 0.6670
Rh9 0.9188 0.4157 0.4157



(8)
Compound: TbSm2Cu3
Source: the Alexandria database
Functional: PBE-GGA
Structure: optimized geometry

Fermi-level density of states: 0.49 states/eV per atom
calculated volume: 131.3 Å³ per cell
energy of formation: -203 meV/atom
polymorph energy (0 for the lowest one): 0 meV per atom

a = 3.5158 Å, b = 3.5158 Å, c = 10.6216 Å
α = 90.00°, β = 90.00°, γ = 90.00°
Element x y z (fractional)
Tb1 0.0000 0.0000 0.0000
Sm1 0.0000 0.0000 0.3313
Sm2 0.0000 0.0000 0.6687
Cu1 0.5000 0.5000 0.1597
Cu2 0.5000 0.5000 0.5000
Cu3 0.5000 0.5000 0.8403



(9)
Compound: Mg4TlCu
Source: the Alexandria database
Functional: PBE-GGA
Structure: optimized geometry

Fermi-level density of states: 0.20 states/eV per atom
calculated volume: 134.4 Å³ per cell
energy of formation: 223 meV/atom
polymorph energy (0 for the lowest one): 283 meV per atom

a = 5.7495 Å, b = 5.7495 Å, c = 5.7495 Å
α = 60.00°, β = 60.00°, γ = 60.00°
Element x y z (fractional)
Mg1 0.1254 0.1254 0.1254
Mg2 0.1254 0.1254 0.6237
Mg3 0.1254 0.6237 0.1254
Mg4 0.6237 0.1254 0.1254
Tl1 0.7500 0.7500 0.7500
Cu1 0.5000 0.5000 0.5000



Question: Number 8 is which compound?
Answer: TbSm2Cu3



Question: Among the records above, which one has the highest calculated volume?
Answer: NaTh2Cl8



Repeat the third record exactly.
Compound: Ti3MnRe
Source: the Alexandria database
Functional: PBE-GGA
Structure: optimized geometry

Fermi-level density of states: 1.11 states/eV per atom
calculated volume: 83.5 Å³ per cell
energy of formation: 644 meV/atom
polymorph energy (0 for the lowest one): 0 meV per atom

a = 4.3709 Å, b = 4.3709 Å, c = 4.3709 Å
α = 90.00°, β = 90.00°, γ = 90.00°
Element x y z (fractional)
Ti1 0.0000 0.0000 0.5000
Ti2 0.0000 0.5000 0.0000
Ti3 0.5000 0.0000 0.0000
Mn1 0.0000 0.0000 0.0000
Re1 0.5000 0.5000 0.5000